(1)
Compound: GaPb3
Source: Alexandria
Functional: GGA-PBE
Structure: optimized geometry

abc: 6.7392 6.7392 5.9314
angles: 90.00 90.00 120.00
Closest atoms and distances in Å follow each position.
Atoms (fractional coordinates):
1 Ga 0.3333 0.6667 0.7500  12 Pb 3.37-3.54
2 Ga 0.6667 0.3333 0.2500  12 Pb 3.37-3.54
3 Pb 0.1679 0.3359 0.2500  8 Pb 3.34-3.56, 4 Ga 3.37-3.54
4 Pb 0.6641 0.8321 0.2500  8 Pb 3.34-3.56, 4 Ga 3.37-3.54
5 Pb 0.1679 0.8321 0.2500  8 Pb 3.34-3.56, 4 Ga 3.37-3.54
6 Pb 0.8321 0.6641 0.7500  8 Pb 3.34-3.56, 4 Ga 3.37-3.54
7 Pb 0.3359 0.1679 0.7500  8 Pb 3.34-3.56, 4 Ga 3.37-3.54
8 Pb 0.8321 0.1679 0.7500  8 Pb 3.34-3.56, 4 Ga 3.37-3.54

Results
distance to the lowest polymorph of the same formula = 60 meV/atom
ΔH_f (0 K) = 85 meV/atom
symmetry = P6_3/mmc (194)

(2)
Compound: RbGa2CuI8
Source: Alexandria
Functional: GGA-PBE
Structure: optimized geometry

abc: 7.4167 7.4167 10.4284
angles: 90.00 90.00 120.00
Closest atoms and distances in Å follow each position.
Atoms (fractional coordinates):
1 Rb 0.0000 0.0000 0.0000  12 I 4.18-4.28
2 Ga 0.6667 0.3333 0.2589  4 I 2.59-2.62
3 Ga 0.3333 0.6667 0.7411  4 I 2.59-2.62
4 Cu 0.0000 0.0000 0.5000  6 I 2.88
5 I 0.3333 0.6667 0.9895  1 Ga 2.59
6 I 0.3168 0.3048 0.3342  1 Ga 2.62, 1 Cu 2.88
7 I 0.6952 0.0120 0.3342  1 Ga 2.62, 1 Cu 2.88
8 I 0.6667 0.3333 0.0105  1 Ga 2.59
9 I 0.3048 0.9880 0.6658  1 Ga 2.62, 1 Cu 2.88
10 I 0.6832 0.6952 0.6658  1 Ga 2.62, 1 Cu 2.88
11 I 0.0120 0.3168 0.6658  1 Ga 2.62, 1 Cu 2.88
12 I 0.9880 0.6832 0.3342  1 Ga 2.62, 1 Cu 2.88

Results
symmetry = P-3 (147)
E_form (uncorrected) = -13.30 kcal/mol of atoms

(3)
Compound: LiCa2NiN
Source: Alexandria
Functional: GGA-PBE
Structure: optimized geometry

abc: 5.0599 5.0599 3.6558
angles: 90.00 90.00 90.00
Closest atoms and distances in Å follow each position.
Atoms (fractional coordinates):
1 Ni 0.0000 0.0000 0.5000  2 N 1.83
2 Ca 0.0000 0.5000 0.0000  2 N 2.53
3 Ca 0.5000 0.0000 0.0000  2 N 2.53
4 Li 0.5000 0.5000 0.5000  8 Ca 3.12
5 N 0.0000 0.0000 0.0000  2 Ni 1.83

Results
distance to the lowest polymorph of the same formula = 0 meV/atom
symmetry = P4/mmm (123)
E_form (uncorrected) = -7.85 kcal/mol of atoms